First-principles (PBE) data for a relaxed NdLuSnRh crystal, as listed in Alexandria via LeMat-Bulk.

Computed properties:
ΔH_f (0 K) (eV per atom): -0.599
DOS(E_F) (states/eV per atom): 0.639

Cell lengths 5.1391, 5.1391, 5.1391 Å; angles 60.00, 60.00, 60.00 degrees
With the nearest neighbours (Å) after each atom.
Fractional positions:
Lu  0.5000  0.5000  0.5000  4 Sn 3.15, 4 Rh 3.15
Rh  0.7500  0.7500  0.7500  4 Nd 3.15, 4 Lu 3.15
Sn  0.2500  0.2500  0.2500  4 Nd 3.15, 4 Lu 3.15
Nd  0.0000  0.0000  0.0000  4 Rh 3.15, 4 Sn 3.15